Model 1:
Here is crystalline PmPr3 at its relaxed geometry from the Alexandria database. Energies are from PBE.

Cell lengths 5.2206, 5.2206, 10.5151 Å; angles 90.00, 90.00, 90.00 degrees
With the nearest neighbours (Å) after each atom.
Space group I4/mmm (No. 139)
Inequivalent atoms, fractional coordinates:
Pm 0.0000 0.0000 0.0000  12 Pr 3.69-3.70
Pr 0.0000 0.0000 0.5000  4 Pm 3.69, 8 Pr 3.70
Pr 0.0000 0.5000 0.2500  8 Pr 3.69-3.70, 4 Pm 3.70

Summary:
Its crystal system is tetragonal. As for the density of states at the Fermi level: 1.6584 states/eV per atom.



Model 2:
Here is crystalline PmPr3 at its relaxed geometry from the Alexandria database. Energies are from PBE.

Cell lengths 3.7119, 12.0517, 6.4493 Å; angles 90.00, 90.00, 90.00 degrees
With the nearest neighbours (Å) after each atom.
Space group Imm2 (No. 44)
Inequivalent atoms, fractional coordinates:
Pm 0.0000 0.0000 0.0000  10 Pr 3.69-3.72, 2 Pm 3.71
Pr 0.0000 0.2506 0.3282  9 Pr 3.68-3.72, 3 Pm 3.69-3.70
Pr 0.0000 0.5000 0.9998  8 Pr 3.68-3.71, 4 Pm 3.72

Summary:
Its crystal system is orthorhombic. As for the density of states at the Fermi level: 1.7182 states/eV per atom.



The least stable of them is model 2.